{
  "formula": "Ba3Zn6Si4TeO20",
  "functional": "GGA-PBEsol",
  "state": "relaxed",
  "lattice": [[7.967, -5.762, 0.000], [7.967, 5.762, 0.000], [-1.511, 0.000, 4.914]],
  "species": ["Ba", "Ba", "Ba", "Zn", "Zn", "Zn", "Zn", "Zn", "Zn", "Si", "Si", "Si", "Si", "Te", "O", "O", "O", "O", "O", "O", "O", "O", "O", "O", "O", "O", "O", "O", "O", "O", "O", "O", "O", "O"],
  "fractional_positions": [[0.000, 0.000, 0.000], [0.287, 0.287, 0.250], [0.713, 0.713, 0.750], [0.136, 0.577, 0.828], [0.346, 0.654, 0.500], [0.423, 0.864, 0.172], [0.577, 0.136, 0.828], [0.654, 0.346, 0.500], [0.864, 0.423, 0.172], [0.019, 0.281, 0.657], [0.281, 0.019, 0.657], [0.719, 0.981, 0.343], [0.981, 0.719, 0.343], [0.500, 0.500, 0.000], [0.006, 0.277, 0.966], [0.109, 0.109, 0.533], [0.118, 0.385, 0.656], [0.137, 0.684, 0.552], [0.277, 0.006, 0.966], [0.310, 0.547, 0.107], [0.316, 0.863, 0.448], [0.385, 0.118, 0.656], [0.430, 0.430, 0.630], [0.453, 0.690, 0.893], [0.547, 0.310, 0.107], [0.570, 0.570, 0.370], [0.615, 0.882, 0.344], [0.684, 0.137, 0.552], [0.690, 0.453, 0.893], [0.723, 0.994, 0.034], [0.863, 0.316, 0.448], [0.882, 0.615, 0.344], [0.891, 0.891, 0.467], [0.994, 0.723, 0.034]],
  "total_energy_ev_per_cell": -223.46,
  "raw_formation_energy_ev_per_fu": -76.02,
  "spacegroup": "C2/m (12)",
  "dos_at_fermi_per_ev_cell": 0.0
}